Entry i
SiAg2Hg: optimized geometry, PBE-GGA.

abc: 3.0604 4.7555 5.5741
angles: 90.00 105.72 90.00
Sites, in units of the cell vectors:
Si 0.0000 0.0000 0.0000
Ag 0.2930 0.0000 0.5815
Ag 0.8668 0.5000 0.7326
Hg 0.1382 0.5000 0.2610

Calculated values
N(E_F) in states/eV/cell: 0.8
Total magnetization in μB per formula unit: 0.000
Theoretical density in g/cm³: 9.45
Volume in Å³/f.u.: 78.1
Space-group type: Pm, No. 6


Entry ii
SiAg2Hg: optimized geometry, PBE-GGA.

abc: 5.9088 8.3047 3.0462
angles: 90.00 90.68 90.00
Sites, in units of the cell vectors:
Si 0.0000 0.0000 0.0000
Si 0.5000 0.5000 0.0000
Ag 0.2500 0.2500 0.5000
Ag 0.2500 0.7500 0.5000
Ag 0.7500 0.2500 0.5000
Ag 0.7500 0.7500 0.5000
Hg 0.0000 0.5000 0.0000
Hg 0.5000 0.0000 0.0000

Calculated values
N(E_F) in states/eV/cell: 2.8
Total magnetization in μB per formula unit: 0.000
Theoretical density in g/cm³: 9.87
Volume in Å³/f.u.: 74.7
Space-group type: C2/m, No. 12


The structure with the most favorable energy is entry i; the runner-up is 41 meV/atom above it.